(1)
The following is a PBE calculation of crystalline ErFe2C3 at its relaxed geometry, from Alexandria.

abc: 4.775 6.550 5.437
angles: 127.04 90.00 90.00
Fractional positions:
Er: 0.750 0.290 0.581
Er: 0.250 0.710 0.419
Fe: 0.500 0.190 0.000
Fe: 0.500 0.810 0.000
Fe: 0.000 0.810 0.000
Fe: 0.000 0.190 0.000
C: 0.250 0.530 0.849
C: 0.750 0.470 0.151
C: 0.750 0.681 0.151
C: 0.250 0.319 0.849
C: 0.250 0.087 0.175
C: 0.750 0.913 0.825

Values from the calculation:
Symmetry   Cmcm
Calculated formation energy   -0.206 eV per formula unit
ρ   7.7 g/cm³
E   -8.228 eV per atom
Total magnetic moment   1.25 μB per cell



(2)
The following is a PBE calculation of crystalline KPbI2N at its relaxed geometry, from Alexandria.

abc: 6.428 6.428 4.951
angles: 90.00 90.00 90.00
Fractional positions:
Pb: 0.500 0.500 0.500
I: 0.000 0.500 0.000
I: 0.500 0.000 0.000
K: 0.000 0.000 0.000
N: 0.000 0.000 0.500

Values from the calculation:
Symmetry   P4/mmm
ρ   4.2 g/cm³
E_form (uncorrected)   0.6323 eV per atom
E   -2.614 eV per atom
Total magnetic moment   2.16 μB per cell